Entry 1:
VASP calculation (PBE) on a geometry-optimized BaScBe2 structure.

Cell: 7.1349 4.1193 6.9259 Å, 90.00 109.95 90.00°
Space group Cm (No. 8)
Unique sites:
Ba1 0.0000 0.0000 0.0000 [2 per cell]
Sc1 0.1807 0.0000 0.5410 [2 per cell]
Be1 0.2915 0.5000 0.3723 [2 per cell]
Be2 0.4593 0.0000 0.3760 [2 per cell]

Uncorrected energy in eV/cell: -29.5
Offset from the most stable computed form in eV/atom: 0.0000
Calculated volume in Å³ per atom: 23.9
Energy of formation from the pure elements in eV/atom: 0.2429

---

Entry 2:
VASP calculation (PBE) on a geometry-optimized SnPd4Se structure.

Cell: 7.0631 3.3684 17.4322 Å, 90.00 90.00 90.00°
Space group Pnma (No. 62)
Unique sites:
Sn1 0.1714 0.2500 0.1885 [4 per cell]
Pd1 0.0446 0.2500 0.3333 [4 per cell]
Pd2 0.0653 0.7500 0.9357 [4 per cell]
Pd3 0.1317 0.2500 0.7930 [4 per cell]
Pd4 0.2247 0.2500 0.5750 [4 per cell]
Se1 0.1606 0.7500 0.4352 [4 per cell]

Uncorrected energy in eV/cell: -121.3
Offset from the most stable computed form in eV/atom: 0.0000
Energy relative to the elements, uncorrected in eV/atom: -0.35
Calculated volume in Å³ per atom: 17.3

---

Entry 3:
VASP calculation (PBE) on a geometry-optimized ErGa2I5 structure.

Cell: 15.8927 8.1614 11.4510 Å, 90.00 113.15 90.00°
Space group C2/c (No. 15)
Unique sites:
Er1 0.0000 0.0000 0.0000 [4 per cell]
Ga1 0.1104 0.4751 0.2080 [8 per cell]
I1 0.0000 0.1479 0.7500 [4 per cell]
I2 0.0891 0.3084 0.4621 [8 per cell]
I3 0.1828 0.1550 0.1390 [8 per cell]

Uncorrected energy in eV/cell: -100.4
Energy relative to the elements, uncorrected in eV/atom: -0.84
Calculated volume in Å³ per atom: 42.7

---

Entry 4:
VASP calculation (PBE) on a geometry-optimized SrLa2Cl structure.

Cell: 6.6623 14.0963 3.6988 Å, 90.00 123.30 90.00°
Space group C2/m (No. 12)
Unique sites:
Sr1 0.0000 0.0000 0.0000 [2 per cell]
La1 0.2500 0.2500 0.0000 [4 per cell]
Cl1 0.0000 0.5000 0.0000 [2 per cell]

Uncorrected energy in eV/cell: -30.0
Offset from the most stable computed form in eV/atom: 0.2693
Energy relative to the elements, uncorrected in eV/atom: -0.41
Calculated volume in Å³ per atom: 36.3

---

Entry 5:
VASP calculation (PBE) on a geometry-optimized ZrOsRu structure.

Cell: 2.8483 2.8483 12.2780 Å, 90.00 90.00 90.00°
Space group I4mm (No. 107)
Unique sites:
Zr1 0.0000 0.0000 0.0000 [2 per cell]
Os1 0.0000 0.0000 0.3174 [2 per cell]
Ru1 0.0000 0.0000 0.6837 [2 per cell]

Uncorrected energy in eV/cell: -58.8
Offset from the most stable computed form in eV/atom: 0.2207
Calculated volume in Å³ per atom: 16.6
Energy of formation from the pure elements in eV/atom: -0.1207